InCu2Ge after structural relaxation. Source: Alexandria, functional PBE.

Cell: 4.5554 4.5554 4.5554 Å, 60.00 60.00 60.00°
With the nearest neighbours (Å) after each atom.
Element x y z (fractional)
Cu 0.2500 0.2500 0.2500  4 Ge 2.79, 4 In 2.79
Cu 0.7500 0.7500 0.7500  4 In 2.79, 4 Ge 2.79
In 0.5000 0.5000 0.5000  8 Cu 2.79
Ge 0.0000 0.0000 0.0000  8 Cu 2.79

Computed properties:
theoretical density	7.8	g/cm3
calculated volume	66.8	Å³ per cell
calculated total energy	-3.671	eV/atom